(1)
The following is a DFT calculation (GGA-PBE) of a geometry-optimized CsKGeCl4 structure.

Cell: 5.286 5.286 9.175 Å, 106.74 106.74 90.00°
Atoms (fractional coordinates):
K 0.360 0.360 0.721
Cl 0.846 0.846 0.693
Cl 0.991 0.491 0.982
Cl 0.491 0.991 0.982
Cl 0.172 0.172 0.344
Cs 0.644 0.644 0.287
Ge 0.995 0.995 0.990

Output
The space-group type is I4mm. Its crystal system is tetragonal. For the calculated density, the calculation gives 2.7 g/cm³. Its total magnetic moment is 0.0 μB per formula unit. The uncorrected formation energy comes out at -1.485 eV per atom. The density of states at the Fermi level is 0.00 states/eV per cell.

---

(2)
The following is a DFT calculation (GGA-PBE) of a geometry-optimized CsLaGe2Cl8 structure.

Cell: 7.028 6.430 10.043 Å, 90.34 85.95 84.54°
Atoms (fractional coordinates):
Ge 0.458 0.456 0.787
Ge 0.542 0.544 0.213
Cs 0.000 0.000 0.500
Cl 0.386 0.267 0.606
Cl 0.141 0.724 0.790
Cl 0.614 0.733 0.394
Cl 0.320 0.245 0.963
Cl 0.810 0.218 0.806
Cl 0.859 0.276 0.210
Cl 0.680 0.755 0.037
Cl 0.190 0.782 0.194
La 0.000 0.000 0.000

Output
The space-group type is P-1. Its crystal system is triclinic. For the calculated density, the calculation gives 2.6 g/cm³. Its total magnetic moment is 0.0 μB per formula unit. The uncorrected formation energy comes out at -1.519 eV per atom. The density of states at the Fermi level is 0.00 states/eV per cell.

---

(3)
The following is a DFT calculation (GGA-PBE) of a geometry-optimized Cs2Li2GeCl6 structure.

Cell: 7.506 7.480 7.977 Å, 112.81 90.00 120.11°
Atoms (fractional coordinates):
Li 0.926 0.852 0.727
Li 0.074 0.148 0.273
Cl 0.715 0.941 0.233
Cl 0.226 0.941 0.233
Cl 0.733 0.466 0.642
Cl 0.285 0.059 0.767
Cl 0.774 0.059 0.767
Cl 0.267 0.534 0.358
Cs 0.711 0.423 0.177
Cs 0.289 0.577 0.823
Ge 0.500 0.000 0.500

Output
The space-group type is C2/m. Its crystal system is monoclinic. For the calculated density, the calculation gives 2.7 g/cm³. Its total magnetic moment is 0.0 μB per formula unit. The uncorrected formation energy comes out at -1.577 eV per atom. The density of states at the Fermi level is 0.00 states/eV per cell.

---

(4)
The following is a DFT calculation (GGA-PBE) of a geometry-optimized Cs2LiGeCl6 structure.

Cell: 7.338 7.338 7.339 Å, 60.00 60.00 90.00°
Atoms (fractional coordinates):
Cl 0.758 0.242 0.000
Cl 0.242 0.242 0.516
Cl 0.758 0.758 0.484
Cl 0.758 0.758 0.000
Cl 0.242 0.242 0.000
Cl 0.242 0.758 0.000
Cs 0.250 0.750 0.500
Cs 0.750 0.250 0.500
Ge 0.000 0.000 0.000
Li 0.500 0.500 0.000

Output
The space-group type is Fm-3m. Its crystal system is cubic. For the calculated density, the calculation gives 3.3 g/cm³. Its total magnetic moment is 0.0 μB per formula unit. The uncorrected formation energy comes out at -1.463 eV per atom. The density of states at the Fermi level is 4.73 states/eV per cell.

---

(5)
The following is a DFT calculation (GGA-PBE) of a geometry-optimized CsLiGe2Cl6 structure.

Cell: 9.566 9.396 9.396 Å, 103.95 74.01 74.01°
Atoms (fractional coordinates):
Cs 0.750 0.101 0.899
Cs 0.250 0.899 0.101
Li 0.250 0.218 0.782
Li 0.750 0.782 0.218
Cl 0.323 0.239 0.015
Cl 0.823 0.015 0.239
Cl 0.984 0.381 0.820
Cl 0.983 0.688 0.646
Cl 0.177 0.985 0.761
Cl 0.017 0.312 0.354
Cl 0.483 0.646 0.688
Cl 0.484 0.820 0.381
Cl 0.516 0.180 0.619
Cl 0.016 0.619 0.180
Cl 0.517 0.354 0.312
Cl 0.677 0.761 0.985
Ge 0.325 0.728 0.552
Ge 0.175 0.448 0.272
Ge 0.825 0.552 0.728
Ge 0.675 0.272 0.448

Output
The space-group type is C2/c. Its crystal system is monoclinic. For the calculated density, the calculation gives 2.3 g/cm³. Its total magnetic moment is 0.0 μB per formula unit. The uncorrected formation energy comes out at -1.243 eV per atom. The density of states at the Fermi level is 0.00 states/eV per cell.

---

(6)
The following is a DFT calculation (GGA-PBE) of a geometry-optimized Cs4LiGe3Cl12 structure.

Cell: 9.095 9.095 9.095 Å, 109.47 109.47 109.47°
Atoms (fractional coordinates):
Ge 0.000 0.500 0.500
Ge 0.500 0.500 0.000
Ge 0.500 0.000 0.500
Cl 0.750 0.250 0.500
Cl 0.256 0.000 0.256
Cl 0.000 0.256 0.256
Cl 0.744 0.000 0.744
Cl 0.750 0.500 0.250
Cl 0.250 0.750 0.500
Cl 0.000 0.744 0.744
Cl 0.500 0.750 0.250
Cl 0.744 0.744 0.000
Cl 0.256 0.256 0.000
Cl 0.500 0.250 0.750
Cl 0.250 0.500 0.750
Cs 0.500 0.000 0.000
Cs 0.000 0.000 0.500
Cs 0.500 0.500 0.500
Cs 0.000 0.500 0.000
Li 0.000 0.000 0.000

Output
The space-group type is Im-3m. Its crystal system is cubic. For the calculated density, the calculation gives 3.4 g/cm³. Its total magnetic moment is 0.0 μB per formula unit. The uncorrected formation energy comes out at -1.394 eV per atom. The density of states at the Fermi level is 3.32 states/eV per cell.

---

(7)
The following is a DFT calculation (GGA-PBE) of a geometry-optimized Cs2MgGeCl6 structure.

Cell: 7.420 7.420 7.420 Å, 60.00 60.00 90.00°
Atoms (fractional coordinates):
Cs 0.750 0.250 0.500
Cs 0.250 0.750 0.500
Ge 0.000 0.000 0.000
Cl 0.257 0.257 0.000
Cl 0.257 0.257 0.487
Cl 0.257 0.743 0.000
Cl 0.743 0.257 0.000
Cl 0.743 0.743 0.000
Cl 0.743 0.743 0.513
Mg 0.500 0.500 0.000

Output
The space-group type is Fm-3m. Its crystal system is cubic. For the calculated density, the calculation gives 3.3 g/cm³. Its total magnetic moment is 0.0 μB per formula unit. The uncorrected formation energy comes out at -1.615 eV per atom. The density of states at the Fermi level is 0.00 states/eV per cell.

---

(8)
The following is a DFT calculation (GGA-PBE) of a geometry-optimized CsMnGe2Cl8 structure.

Cell: 7.848 6.025 9.202 Å, 96.22 99.51 67.86°
Atoms (fractional coordinates):
Cl 0.270 0.034 0.857
Cl 0.304 0.370 0.589
Cl 0.225 0.757 0.159
Cl 0.775 0.243 0.841
Cl 0.999 0.678 0.837
Cl 0.001 0.322 0.163
Cl 0.730 0.966 0.143
Cl 0.696 0.630 0.411
Ge 0.663 0.612 0.158
Ge 0.337 0.388 0.842
Mn 0.000 0.000 0.000
Cs 0.000 0.000 0.500

Output
The space-group type is P-1. Its crystal system is triclinic. For the calculated density, the calculation gives 2.6 g/cm³. Its total magnetic moment is 4.0 μB per formula unit. The uncorrected formation energy comes out at -1.078 eV per atom.

---

(9)
The following is a DFT calculation (GGA-PBE) of a geometry-optimized CsGeN2Cl structure.

Cell: 4.295 5.570 4.295 Å, 90.00 90.00 90.00°
Atoms (fractional coordinates):
N 0.500 0.000 0.000
N 0.000 0.000 0.500
Ge 0.000 0.000 0.000
Cs 0.500 0.500 0.500
Cl 0.000 0.500 0.000

Output
The space-group type is P4/mmm. Its crystal system is tetragonal. For the calculated density, the calculation gives 4.3 g/cm³. Its total magnetic moment is 2.4 μB per formula unit. The uncorrected formation energy comes out at 0.683 eV per atom. The density of states at the Fermi level is 3.25 states/eV per cell.

---

(10)
The following is a DFT calculation (GGA-PBE) of a geometry-optimized Cs2NaGeCl5 structure.

Cell: 5.172 9.771 13.146 Å, 90.00 90.00 105.35°
Atoms (fractional coordinates):
Cl 0.071 0.143 0.978
Cl 0.313 0.625 0.644
Cl 0.511 0.023 0.799
Cl 0.929 0.857 0.478
Cl 0.648 0.296 0.513
Cl 0.687 0.375 0.144
Cl 0.312 0.625 0.369
Cl 0.489 0.977 0.299
Cl 0.688 0.375 0.869
Cl 0.352 0.704 0.013
Cs 0.873 0.747 0.189
Cs 0.127 0.253 0.689
Cs 0.122 0.245 0.331
Cs 0.878 0.755 0.831
Na 0.787 0.574 0.543
Na 0.213 0.426 0.043
Ge 0.423 0.846 0.458
Ge 0.577 0.154 0.958

Output
The space-group type is Cmc2_1. Its crystal system is orthorhombic. For the calculated density, the calculation gives 2.8 g/cm³. Its total magnetic moment is 0.0 μB per formula unit. The uncorrected formation energy comes out at -1.544 eV per atom. The density of states at the Fermi level is 0.00 states/eV per cell.

---

(11)
The following is a DFT calculation (GGA-PBE) of a geometry-optimized CsNaGe2Cl6 structure.

Cell: 10.022 9.547 9.547 Å, 106.52 73.24 73.24°
Atoms (fractional coordinates):
Na 0.250 0.228 0.772
Na 0.750 0.772 0.228
Ge 0.684 0.270 0.445
Ge 0.316 0.730 0.555
Ge 0.184 0.445 0.270
Ge 0.816 0.555 0.730
Cl 0.510 0.330 0.331
Cl 0.347 0.223 0.016
Cl 0.847 0.016 0.223
Cl 0.938 0.391 0.842
Cl 0.153 0.984 0.777
Cl 0.438 0.842 0.391
Cl 0.490 0.670 0.669
Cl 0.990 0.669 0.670
Cl 0.010 0.331 0.330
Cl 0.653 0.777 0.984
Cl 0.062 0.609 0.158
Cl 0.562 0.158 0.609
Cs 0.250 0.905 0.095
Cs 0.750 0.095 0.905

Output
The space-group type is C2/c. Its crystal system is monoclinic. For the calculated density, the calculation gives 2.2 g/cm³. Its total magnetic moment is 0.0 μB per formula unit. The uncorrected formation energy comes out at -1.252 eV per atom. The density of states at the Fermi level is 0.00 states/eV per cell.

---

(12)
The following is a DFT calculation (GGA-PBE) of a geometry-optimized CsNaGeCl4 structure.

Cell: 7.765 7.256 10.242 Å, 90.00 108.86 90.00°
Atoms (fractional coordinates):
Ge 0.770 0.250 0.709
Ge 0.230 0.750 0.291
Cl 0.048 0.505 0.341
Cl 0.550 0.250 0.489
Cl 0.952 0.495 0.659
Cl 0.952 0.005 0.659
Cl 0.450 0.750 0.511
Cl 0.562 0.750 0.176
Cl 0.438 0.250 0.824
Cl 0.048 0.995 0.341
Na 0.796 0.750 0.438
Na 0.204 0.250 0.562
Cs 0.642 0.250 0.170
Cs 0.358 0.750 0.830

Output
The space-group type is P2_1/m. Its crystal system is monoclinic. For the calculated density, the calculation gives 2.3 g/cm³. Its total magnetic moment is 0.0 μB per formula unit. The uncorrected formation energy comes out at -1.403 eV per atom. The density of states at the Fermi level is 0.00 states/eV per cell.